[1]
## LaNdC (PBE)

Data for a relaxed LaNdC crystal.

Output
- total energy (eV per atom) = -6.270
- crystal system = monoclinic
- volume (A^3/atom) = 26.36
- Fermi-level density of states (states/eV per cell) = 10.2
- energy of formation (kJ/mol of atoms) = 3.5
- space-group type = C2/m, No. 12

a b c (Å): 13.5670 3.5353 7.4284
angles (deg): 90.00 117.39 90.00
Last column: nearest neighbours and their distance in Å.
Fractional coordinates of all 12 atoms:
La1 0.0078 0.0000 0.2115  2 C 2.53
La2 0.4922 0.5000 0.7885  2 C 2.53
La3 0.5078 0.5000 0.2115  2 C 2.53
La4 0.9922 0.0000 0.7885  2 C 2.53
Nd1 0.2321 0.5000 0.7812  3 C 2.54-2.57
Nd2 0.2679 0.0000 0.2188  3 C 2.54-2.57
Nd3 0.7321 0.0000 0.7812  3 C 2.54-2.57
Nd4 0.7679 0.5000 0.2188  3 C 2.54-2.57
C1 0.1309 0.5000 0.0008  2 La 2.53, 3 Nd 2.54-2.57
C2 0.3691 0.0000 0.9992  2 La 2.53, 3 Nd 2.54-2.57
C3 0.6309 0.0000 0.0008  2 La 2.53, 3 Nd 2.54-2.57
C4 0.8691 0.5000 0.9992  2 La 2.53, 3 Nd 2.54-2.57

---

[2]
## RbPtBr (PBE)

Data for a relaxed RbPtBr crystal.

Output
- total energy (eV per atom) = -3.205
- crystal system = hexagonal
- volume (A^3/atom) = 29.65
- Fermi-level density of states (states/eV per cell) = 0.3
- space-group type = P-6m2, No. 187

a b c (Å): 4.5028 4.5028 5.0662
angles (deg): 90.00 90.00 120.00
Last column: nearest neighbours and their distance in Å.
Fractional coordinates of all 3 atoms:
Rb1 0.0000 0.0000 0.0000  6 Br 3.63, 6 Pt 3.63
Pt1 0.6667 0.3333 0.5000  3 Br 2.60
Br1 0.3333 0.6667 0.5000  3 Pt 2.60

---

[3]
## MoIrOs3 (PBE)

Data for a relaxed MoIrOs3 crystal.

Output
- total energy (eV per atom) = -8.139
- crystal system = cubic
- volume (A^3/atom) = 20.40
- Fermi-level density of states (states/eV per cell) = 8.2
- energy of formation (kJ/mol of atoms) = 244.8
- space-group type = Pm-3m, No. 221

a b c (Å): 4.6721 4.6721 4.6721
angles (deg): 90.00 90.00 90.00
Last column: nearest neighbours and their distance in Å.
Fractional coordinates of all 5 atoms:
Mo1 0.0000 0.0000 0.0000  12 Os 3.30
Ir1 0.5000 0.5000 0.5000  6 Os 2.34
Os1 0.0000 0.5000 0.5000  2 Ir 2.34
Os2 0.5000 0.0000 0.5000  2 Ir 2.34
Os3 0.5000 0.5000 0.0000  2 Ir 2.34

---

[4]
## PbCl (PBE)

Data for a relaxed PbCl crystal.

Output
- total energy (eV per atom) = -3.457
- crystal system = monoclinic
- volume (A^3/atom) = 29.16
- Fermi-level density of states (states/eV per cell) = 2.2
- space-group type = Cm, No. 8

a b c (Å): 10.9851 3.5613 10.1316
angles (deg): 90.00 118.02 90.00
Last column: nearest neighbours and their distance in Å.
Fractional coordinates of all 12 atoms:
Pb1 0.0000 0.0000 0.0000  2 Cl 2.86-3.01
Pb2 0.0236 0.5000 0.3053  1 Cl 2.78
Pb3 0.0810 0.0000 0.6245  1 Cl 2.72
Pb4 0.5000 0.5000 0.0000  2 Cl 2.86-3.01
Pb5 0.5236 0.0000 0.3053  1 Cl 2.78
Pb6 0.5810 0.5000 0.6245  1 Cl 2.72
Cl1 0.2130 0.5000 0.9206  3 Pb 2.86-3.19
Cl2 0.2645 0.0000 0.2901  2 Pb 2.78-3.01
Cl3 0.3528 0.0000 0.6978  1 Pb 2.72
Cl4 0.7130 0.0000 0.9206  3 Pb 2.86-3.19
Cl5 0.7645 0.5000 0.2901  2 Pb 2.78-3.01
Cl6 0.8528 0.5000 0.6978  1 Pb 2.72

---

[5]
## HoMg4Hg2 (PBE)

Data for a relaxed HoMg4Hg2 crystal.

Output
- total energy (eV per atom) = -1.832
- crystal system = orthorhombic
- volume (A^3/atom) = 23.61
- Fermi-level density of states (states/eV per cell) = 6.2
- energy of formation (kJ/mol of atoms) = -17.5
- space-group type = Cmmm, No. 65

a b c (Å): 4.3487 17.5992 4.3190
angles (deg): 90.00 90.00 90.00
Last column: nearest neighbours and their distance in Å.
Fractional coordinates of all 14 atoms:
Ho1 0.0000 0.0000 0.0000  8 Hg 3.37
Ho2 0.5000 0.5000 0.0000  8 Hg 3.37
Mg1 0.0000 0.1818 0.5000  2 Hg 2.82, 4 Mg 3.06
Mg2 0.0000 0.3160 0.0000  2 Hg 2.84, 4 Mg 3.06
Mg3 0.0000 0.6840 0.0000  2 Hg 2.84, 4 Mg 3.06
Mg4 0.0000 0.8182 0.5000  2 Hg 2.82, 4 Mg 3.06
Mg5 0.5000 0.1840 0.0000  2 Hg 2.84, 4 Mg 3.06
Mg6 0.5000 0.3182 0.5000  2 Hg 2.82, 4 Mg 3.06
Mg7 0.5000 0.6818 0.5000  2 Hg 2.82, 4 Mg 3.06
Mg8 0.5000 0.8160 0.0000  2 Hg 2.84, 4 Mg 3.06
Hg1 0.0000 0.4205 0.5000  1 Hg 2.80, 4 Mg 2.82-2.84
Hg2 0.0000 0.5795 0.5000  1 Hg 2.80, 4 Mg 2.82-2.84
Hg3 0.5000 0.0795 0.5000  1 Hg 2.80, 4 Mg 2.82-2.84
Hg4 0.5000 0.9205 0.5000  1 Hg 2.80, 4 Mg 2.82-2.84

---

[6]
## La5Zn2Tc (PBE)

Data for a relaxed La5Zn2Tc crystal.

Output
- total energy (eV per atom) = -4.843
- crystal system = orthorhombic
- volume (A^3/atom) = 29.25
- Fermi-level density of states (states/eV per cell) = 21.0
- energy of formation (kJ/mol of atoms) = -14.4
- space-group type = Pbam, No. 55

a b c (Å): 8.0707 11.9371 4.8570
angles (deg): 90.00 90.00 90.00
Last column: nearest neighbours and their distance in Å.
Fractional coordinates of all 16 atoms:
La1 0.0000 0.0000 0.0000  4 Zn 3.17
La2 0.1438 0.2960 0.0000  1 Tc 2.70
La3 0.1874 0.5727 0.5000  2 Tc 2.99, 2 Zn 3.28-3.31
La4 0.3126 0.0727 0.5000  2 Tc 2.99, 2 Zn 3.28-3.31
La5 0.3562 0.7960 0.0000  1 Tc 2.70
La6 0.5000 0.5000 0.0000  4 Zn 3.17
La7 0.6438 0.2040 0.0000  1 Tc 2.70
La8 0.6874 0.9273 0.5000  2 Tc 2.99, 2 Zn 3.28-3.31
La9 0.8126 0.4273 0.5000  2 Tc 2.99, 2 Zn 3.28-3.31
La10 0.8562 0.7040 0.0000  1 Tc 2.70
Zn1 0.0750 0.8364 0.5000  9 La 3.17-3.41
Zn2 0.4250 0.3364 0.5000  9 La 3.17-3.41
Zn3 0.5750 0.6636 0.5000  9 La 3.17-3.41
Zn4 0.9250 0.1636 0.5000  9 La 3.17-3.41
Tc1 0.0000 0.5000 0.0000  6 La 2.70-2.99
Tc2 0.5000 0.0000 0.0000  6 La 2.70-2.99

---

[7]
## EuYMgRu (PBE)

Data for a relaxed EuYMgRu crystal.

Output
- total energy (eV per atom) = -6.916
- crystal system = cubic
- volume (A^3/atom) = 23.39
- Fermi-level density of states (states/eV per cell) = 11.8
- energy of formation (kJ/mol of atoms) = -1.4
- space-group type = F-43m, No. 216

a b c (Å): 7.2066 7.2066 7.2066
angles (deg): 90.00 90.00 90.00
Last column: nearest neighbours and their distance in Å.
Fractional coordinates of all 16 atoms:
Eu1 0.0000 0.0000 0.0000  4 Mg 3.12, 4 Ru 3.12
Eu2 0.0000 0.5000 0.5000  4 Mg 3.12, 4 Ru 3.12
Eu3 0.5000 0.0000 0.5000  4 Mg 3.12, 4 Ru 3.12
Eu4 0.5000 0.5000 0.0000  4 Ru 3.12, 4 Mg 3.12
Y1 0.0000 0.0000 0.5000  4 Ru 3.12, 4 Mg 3.12
Y2 0.0000 0.5000 0.0000  4 Ru 3.12, 4 Mg 3.12
Y3 0.5000 0.0000 0.0000  4 Ru 3.12, 4 Mg 3.12
Y4 0.5000 0.5000 0.5000  4 Ru 3.12, 4 Mg 3.12
Mg1 0.2500 0.2500 0.2500  4 Eu 3.12, 4 Y 3.12
Mg2 0.2500 0.7500 0.7500  4 Eu 3.12, 4 Y 3.12
Mg3 0.7500 0.2500 0.7500  4 Eu 3.12, 4 Y 3.12
Mg4 0.7500 0.7500 0.2500  4 Eu 3.12, 4 Y 3.12
Ru1 0.2500 0.2500 0.7500  4 Eu 3.12, 4 Y 3.12
Ru2 0.2500 0.7500 0.2500  4 Eu 3.12, 4 Y 3.12
Ru3 0.7500 0.2500 0.2500  4 Eu 3.12, 4 Y 3.12
Ru4 0.7500 0.7500 0.7500  4 Y 3.12, 4 Eu 3.12

---

[8]
## Tl3Tc (PBE)

Data for a relaxed Tl3Tc crystal.

Output
- total energy (eV per atom) = -3.920
- crystal system = orthorhombic
- volume (A^3/atom) = 23.69
- Fermi-level density of states (states/eV per cell) = 1.6
- energy of formation (kJ/mol of atoms) = 43.0
- space-group type = Pnma, No. 62

a b c (Å): 7.1216 9.1717 5.8020
angles (deg): 90.00 90.00 90.00
Last column: nearest neighbours and their distance in Å.
Fractional coordinates of all 16 atoms:
Tl1 0.0266 0.2500 0.1447  2 Tc 2.76-2.91
Tl2 0.1804 0.0477 0.6187  3 Tc 2.77-3.03, 1 Tl 3.04
Tl3 0.1804 0.4523 0.6187  3 Tc 2.77-3.03, 1 Tl 3.04
Tl4 0.3196 0.5477 0.1187  3 Tc 2.77-3.03, 1 Tl 3.04
Tl5 0.3196 0.9523 0.1187  3 Tc 2.77-3.03, 1 Tl 3.04
Tl6 0.4734 0.7500 0.6447  2 Tc 2.76-2.91
Tl7 0.5266 0.2500 0.3553  2 Tc 2.76-2.91
Tl8 0.6804 0.0477 0.8813  3 Tc 2.77-3.03, 1 Tl 3.04
Tl9 0.6804 0.4523 0.8813  3 Tc 2.77-3.03, 1 Tl 3.04
Tl10 0.8196 0.5477 0.3813  3 Tc 2.77-3.03, 1 Tl 3.04
Tl11 0.8196 0.9523 0.3813  3 Tc 2.77-3.03, 1 Tl 3.04
Tl12 0.9734 0.7500 0.8553  2 Tc 2.76-2.91
Tc1 0.1420 0.7500 0.3986  8 Tl 2.76-3.03
Tc2 0.3580 0.2500 0.8986  8 Tl 2.76-3.03
Tc3 0.6420 0.7500 0.1014  8 Tl 2.76-3.03
Tc4 0.8580 0.2500 0.6014  8 Tl 2.76-3.03

---

| no. | size of the total moment (μB per formula unit) |
| --- | --- |
| 1 | 0.000 |
| 2 | 0.000 |
| 3 | 2.878 |
| 4 | 0.000 |
| 5 | 0.000 |
| 6 | 0.000 |
| 7 | 7.053 |
| 8 | 0.000 |